! PBE Ba4Ca2Pd, optimized geometry; values from VASP
&SYSTEM
  ibrav = 0, nat = 14, ntyp = 3
/
ATOMIC_SPECIES
Ba 137.33 Ba.upf
Ca 40.08 Ca.upf
Pd 106.42 Pd.upf
CELL_PARAMETERS angstrom
6.196 0.000 0.000
0.000 6.196 0.000
0.000 0.000 20.405
ATOMIC_POSITIONS angstrom
Ba 0.000 0.000 3.256
Ba 0.000 0.000 17.150
Ba 0.000 3.098 0.000
Ba 0.000 3.098 10.203
Ba 3.098 0.000 0.000
Ba 3.098 0.000 10.203
Ba 3.098 3.098 6.947
Ba 3.098 3.098 13.459
Ca 0.000 0.000 7.381
Ca 0.000 0.000 13.025
Ca 3.098 3.098 2.822
Ca 3.098 3.098 17.584
Pd 0.000 0.000 0.000
Pd 3.098 3.098 10.203
! space group: I4/mmm
! mass density: 3.12 Mg/m³
! total magnetization: 0.00 μB per atom

=====

! PBE BaCaPd, optimized geometry; values from VASP
&SYSTEM
  ibrav = 0, nat = 12, ntyp = 3
/
ATOMIC_SPECIES
Ba 137.33 Ba.upf
Ca 40.08 Ca.upf
Pd 106.42 Pd.upf
CELL_PARAMETERS angstrom
7.089 0.000 0.000
0.000 8.763 0.000
-0.244 0.000 7.659
ATOMIC_POSITIONS angstrom
Ba 1.642 1.086 3.127
Ba 1.520 3.296 6.956
Ba 5.324 5.467 0.703
Ba 5.202 7.677 4.532
Ca 1.957 5.490 3.155
Ca 1.835 7.654 6.984
Ca 5.009 1.109 0.675
Ca 4.887 3.273 4.504
Pd 3.345 5.478 5.691
Pd 3.467 7.666 1.861
Pd 3.377 1.097 5.798
Pd 3.499 3.285 1.968
! space group: P2_1/c
! ΔE to the lowest computed polymorph: 0.0194 eV/atom
! mass density: 3.96 Mg/m³
! total magnetization: 0.00 μB per atom

=====

! PBE BaCaPd, optimized geometry; values from VASP
&SYSTEM
  ibrav = 0, nat = 3, ntyp = 3
/
ATOMIC_SPECIES
Ba 137.33 Ba.upf
Ca 40.08 Ca.upf
Pd 106.42 Pd.upf
CELL_PARAMETERS angstrom
4.452 0.000 0.000
-2.226 3.855 0.000
0.000 0.000 6.871
ATOMIC_POSITIONS angstrom
Ba 0.000 0.000 0.000
Ca 2.226 1.285 3.216
Pd 0.000 2.570 1.851
! space group: P3m1
! ΔE to the lowest computed polymorph: 0.0273 eV/atom
! mass density: 4.00 Mg/m³
! total magnetization: 0.00 μB per atom

=====

! PBE BaCaPd, optimized geometry; values from VASP
&SYSTEM
  ibrav = 0, nat = 6, ntyp = 3
/
ATOMIC_SPECIES
Ba 137.33 Ba.upf
Ca 40.08 Ca.upf
Pd 106.42 Pd.upf
CELL_PARAMETERS angstrom
3.792 0.000 0.000
0.000 3.792 0.000
0.000 0.000 14.106
ATOMIC_POSITIONS angstrom
Ba 0.000 0.000 0.000
Ba 1.896 1.896 7.053
Ca 0.000 0.000 3.563
Ca 1.896 1.896 10.616
Pd 0.000 0.000 9.121
Pd 1.896 1.896 2.068
! space group: I4mm
! ΔE to the lowest computed polymorph: 0.0356 eV/atom
! mass density: 4.65 Mg/m³
! total magnetization: 0.00 μB per atom

=====

! PBE Ba2Ca3Pd2, optimized geometry; values from VASP
&SYSTEM
  ibrav = 0, nat = 14, ntyp = 3
/
ATOMIC_SPECIES
Ba 137.33 Ba.upf
Ca 40.08 Ca.upf
Pd 106.42 Pd.upf
CELL_PARAMETERS angstrom
13.090 0.000 0.000
0.000 4.352 0.000
-4.143 0.000 8.586
ATOMIC_POSITIONS angstrom
Ba 0.854 0.000 2.525
Ba 1.548 2.176 6.061
Ba 7.399 2.176 2.525
Ba 8.093 0.000 6.061
Ca -2.072 2.176 4.293
Ca -2.131 2.176 7.968
Ca 4.533 0.000 0.618
Ca 4.473 0.000 4.293
Ca 4.414 0.000 7.968
Ca 11.078 2.176 0.618
Pd -0.951 0.000 6.305
Pd 3.353 2.176 2.281
Pd 5.594 2.176 6.305
Pd 9.898 0.000 2.281
! space group: C2/m
! mass density: 4.13 Mg/m³
! total magnetization: 0.00 μB per atom

=====

! PBE BaCaPd3, optimized geometry; values from VASP
&SYSTEM
  ibrav = 0, nat = 5, ntyp = 3
/
ATOMIC_SPECIES
Ba 137.33 Ba.upf
Ca 40.08 Ca.upf
Pd 106.42 Pd.upf
CELL_PARAMETERS angstrom
5.434 0.000 0.000
0.000 5.434 0.000
0.000 0.000 5.434
ATOMIC_POSITIONS angstrom
Ba 0.000 0.000 0.000
Ca 2.717 2.717 2.717
Pd 0.000 0.000 2.717
Pd 0.000 2.717 0.000
Pd 2.717 0.000 0.000
! space group: Pm-3m
! ΔE to the lowest computed polymorph: 0.5208 eV/atom
! mass density: 5.14 Mg/m³
! total magnetization: 0.00 μB per atom

=====

! PBE BaCa2Pd9, optimized geometry; values from VASP
&SYSTEM
  ibrav = 0, nat = 12, ntyp = 3
/
ATOMIC_SPECIES
Ba 137.33 Ba.upf
Ca 40.08 Ca.upf
Pd 106.42 Pd.upf
CELL_PARAMETERS angstrom
2.752 1.589 8.928
-2.752 1.589 8.928
0.000 -3.178 8.928
ATOMIC_POSITIONS angstrom
Ba 0.000 0.000 0.000
Ca 0.000 0.000 3.782
Ca 0.000 0.000 23.003
Pd -1.388 -0.801 11.227
Pd 0.000 0.000 8.911
Pd 0.000 -1.603 15.558
Pd -1.388 0.801 15.558
Pd 0.000 0.000 13.392
Pd 1.388 -0.801 11.227
Pd 0.000 1.603 11.227
Pd 0.000 0.000 17.874
Pd 1.388 0.801 15.558
! space group: R-3m
! mass density: 8.33 Mg/m³
! total magnetization: 0.00 μB per atom

=====

! PBE BaCaPd, optimized geometry; values from VASP
&SYSTEM
  ibrav = 0, nat = 6, ntyp = 3
/
ATOMIC_SPECIES
Ba 137.33 Ba.upf
Ca 40.08 Ca.upf
Pd 106.42 Pd.upf
CELL_PARAMETERS angstrom
5.515 0.000 0.000
-0.010 5.904 0.000
-0.007 -1.322 6.437
ATOMIC_POSITIONS angstrom
Ba 1.373 0.735 2.572
Ba 4.126 3.848 3.865
Ca 1.368 2.762 6.415
Ca 4.131 1.821 0.022
Pd 1.367 -0.243 5.591
Pd 4.132 4.825 0.846
! space group: P-1
! ΔE to the lowest computed polymorph: 0.0000 eV/atom
! mass density: 4.50 Mg/m³
! total magnetization: 0.00 μB per atom

=====

! PBE Ba2CaPd2, optimized geometry; values from VASP
&SYSTEM
  ibrav = 0, nat = 10, ntyp = 3
/
ATOMIC_SPECIES
Ba 137.33 Ba.upf
Ca 40.08 Ca.upf
Pd 106.42 Pd.upf
CELL_PARAMETERS angstrom
8.347 0.000 0.000
0.000 8.347 0.000
0.000 0.000 4.623
ATOMIC_POSITIONS angstrom
Ba 1.364 2.810 0.000
Ba 2.810 6.983 0.000
Ba 5.538 1.364 0.000
Ba 6.983 5.538 0.000
Ca 0.000 0.000 2.312
Ca 4.174 4.174 2.312
Pd 1.093 5.267 2.312
Pd 3.080 1.093 2.312
Pd 5.267 7.254 2.312
Pd 7.254 3.080 2.312
! space group: P4/mbm
! ΔE to the lowest computed polymorph: 0.0047 eV/atom
! mass density: 5.44 Mg/m³
! total magnetization: 0.00 μB per atom

=====

! PBE Ba2CaPd2, optimized geometry; values from VASP
&SYSTEM
  ibrav = 0, nat = 10, ntyp = 3
/
ATOMIC_SPECIES
Ba 137.33 Ba.upf
Ca 40.08 Ca.upf
Pd 106.42 Pd.upf
CELL_PARAMETERS angstrom
5.005 0.000 0.000
0.000 5.005 0.000
0.000 0.000 13.502
ATOMIC_POSITIONS angstrom
Ba 0.000 2.503 3.375
Ba 0.000 2.503 10.126
Ba 2.503 0.000 3.375
Ba 2.503 0.000 10.126
Ca 0.000 0.000 0.000
Ca 2.503 2.503 6.751
Pd 0.000 0.000 5.434
Pd 0.000 0.000 8.068
Pd 2.503 2.503 1.317
Pd 2.503 2.503 12.185
! space group: I4/mmm
! ΔE to the lowest computed polymorph: 0.2988 eV/atom
! mass density: 5.18 Mg/m³
! total magnetization: 0.00 μB per atom

=====

! PBE Ba2Ca4Pd, optimized geometry; values from VASP
&SYSTEM
  ibrav = 0, nat = 14, ntyp = 3
/
ATOMIC_SPECIES
Ba 137.33 Ba.upf
Ca 40.08 Ca.upf
Pd 106.42 Pd.upf
CELL_PARAMETERS angstrom
5.687 0.000 0.000
0.000 5.687 0.000
0.000 0.000 20.655
ATOMIC_POSITIONS angstrom
Ba 0.000 0.000 3.528
Ba 0.000 0.000 17.127
Ba 2.843 2.843 6.800
Ba 2.843 2.843 13.855
Ca 0.000 0.000 7.559
Ca 0.000 0.000 13.096
Ca 0.000 2.843 0.000
Ca 0.000 2.843 10.328
Ca 2.843 0.000 0.000
Ca 2.843 0.000 10.328
Ca 2.843 2.843 2.768
Ca 2.843 2.843 17.887
Pd 0.000 0.000 10.328
Pd 2.843 2.843 0.000
! space group: I4/mmm
! mass density: 2.69 Mg/m³
! total magnetization: 0.00 μB per atom

=====

! PBE Ba2CaPd2, optimized geometry; values from VASP
&SYSTEM
  ibrav = 0, nat = 10, ntyp = 3
/
ATOMIC_SPECIES
Ba 137.33 Ba.upf
Ca 40.08 Ca.upf
Pd 106.42 Pd.upf
CELL_PARAMETERS angstrom
4.394 0.000 0.000
0.000 7.091 0.000
0.000 0.000 10.574
ATOMIC_POSITIONS angstrom
Ba 0.000 0.000 2.023
Ba 0.000 0.000 8.551
Ba 2.197 3.546 3.264
Ba 2.197 3.546 7.310
Ca 0.000 3.546 0.000
Ca 2.197 0.000 5.287
Pd 0.000 2.076 5.287
Pd 0.000 5.015 5.287
Pd 2.197 1.469 0.000
Pd 2.197 5.622 0.000
! space group: Immm
! ΔE to the lowest computed polymorph: 0.0000 eV/atom
! mass density: 5.32 Mg/m³
! total magnetization: 0.00 μB per atom

=====

Number 1: energy relative to the elements -0.18 eV per formula unit. Number 2: energy relative to the elements -1.23 eV per formula unit. Number 3: energy relative to the elements -1.21 eV per formula unit. Number 4: energy relative to the elements -1.19 eV per formula unit. Number 5: energy relative to the elements -2.97 eV per formula unit. Number 6: energy relative to the elements 2.51 eV per formula unit. Number 7: energy relative to the elements -6.39 eV per formula unit. Number 8: energy relative to the elements -1.29 eV per formula unit. Number 9: energy relative to the elements -2.37 eV per formula unit. Number 10: energy relative to the elements -0.90 eV per formula unit. Number 11: energy relative to the elements -0.91 eV per formula unit. Number 12: energy relative to the elements -2.39 eV per formula unit.